# 1
A geometry-optimized SrInAs4 structure. Source: Alexandria via LeMat-Bulk, functional GGA-PBE.

```
SrInAs4
1.0
0.000 4.147 4.147
4.147 0.000 4.147
4.147 4.147 0.000
As Sr In
4 1 1
Cartesian
3.155 3.155 3.155
5.139 3.155 5.139
5.139 5.139 3.155
3.155 5.139 5.139
0.000 0.000 0.000
6.221 6.221 6.221
```

Values from the calculation:
DFT formation energy	-0.18	eV per atom
space-group type	F-43m
VASP energy	-24.12	eV/f.u.

***

# 2
A geometry-optimized SrIn2As2 structure. Source: Alexandria via LeMat-Bulk, functional GGA-PBE.

```
SrIn2As2
1.0
5.259 0.000 0.000
0.000 5.259 0.000
2.630 2.630 4.914
In Sr As
2 1 2
Cartesian
2.630 2.630 1.420
5.259 5.259 3.494
0.000 0.000 0.000
2.630 5.259 2.457
5.259 2.630 2.457
```

Values from the calculation:
DFT formation energy	-0.42	eV per atom
space-group type	I4/mmm
VASP energy	-18.57	eV/f.u.

***

# 3
A geometry-optimized SrIn2As2 structure. Source: Alexandria via LeMat-Bulk, functional GGA-PBE.

```
SrIn2As2
1.0
2.148 -3.720 0.000
2.148 3.720 0.000
0.000 0.000 18.336
Sr As In
2 4 4
Cartesian
0.000 0.000 0.000
0.000 0.000 9.168
2.148 -1.240 1.985
2.148 1.240 11.154
2.148 1.240 16.351
2.148 -1.240 7.183
2.148 -1.240 12.338
2.148 1.240 5.998
2.148 1.240 3.170
2.148 -1.240 15.166
```

Values from the calculation:
DFT formation energy	-0.62	eV per atom
space-group type	P6_3/mmc
VASP energy	-19.55	eV/f.u.

***

# 4
A geometry-optimized Sr5In2As6 structure. Source: Alexandria via LeMat-Bulk, functional GGA-PBE.

```
Sr5In2As6
1.0
4.437 0.000 0.000
0.000 12.142 0.000
0.000 0.000 14.107
As Sr In
12 10 4
Cartesian
0.000 4.208 12.709
0.000 11.898 12.858
0.000 5.827 8.303
0.000 1.863 5.656
0.000 10.279 8.451
2.218 1.972 9.545
2.218 4.099 2.491
2.218 8.043 11.616
0.000 6.316 5.804
0.000 0.245 1.249
2.218 10.170 4.562
0.000 7.935 1.398
2.218 6.071 0.000
2.218 2.128 13.890
2.218 7.119 3.571
2.218 0.000 7.054
2.218 11.095 10.625
2.218 1.048 3.482
2.218 8.199 7.271
2.218 10.015 0.218
2.218 3.944 6.836
2.218 5.023 10.536
0.000 10.062 3.036
0.000 8.151 10.089
0.000 2.080 11.071
0.000 3.991 4.018
```

Values from the calculation:
DFT formation energy	-0.94	eV per atom
space-group type	Pbam
VASP energy	-53.94	eV/f.u.

***

# 5
A geometry-optimized Sr5In2As5 structure. Source: Alexandria via LeMat-Bulk, functional GGA-PBE.

```
Sr5In2As5
1.0
-2.681 -0.030 6.766
-0.156 -7.124 3.820
5.267 1.247 6.006
As Sr In
5 5 2
Cartesian
-0.393 -1.762 7.725
-1.248 -0.014 3.151
2.782 -4.145 8.972
1.430 -4.644 4.520
3.640 -1.233 5.411
-0.393 -2.872 2.372
-2.383 -0.027 6.016
1.790 0.498 3.252
-1.502 -4.272 5.840
1.737 0.729 7.146
1.873 -2.946 6.635
0.533 -2.961 10.018
```

Values from the calculation:
DFT formation energy	-0.86	eV per atom
space-group type	I4mm
VASP energy	-47.47	eV/f.u.

***

# 6
A geometry-optimized SrInAs structure. Source: Alexandria via LeMat-Bulk, functional GGA-PBE.

```
SrInAs
1.0
-4.822 -3.864 1.157
-2.659 -3.655 4.318
-2.807 2.033 1.644
As Sr In
1 1 1
Cartesian
-7.366 -7.282 5.380
-5.892 -4.271 4.172
-4.512 -1.452 3.042
```

Values from the calculation:
DFT formation energy	-0.48	eV per atom
space-group type	Fmm2
VASP energy	-10.52	eV/f.u.

***

# 7
A geometry-optimized SrIn2As2 structure. Source: Alexandria via LeMat-Bulk, functional GGA-PBE.

```
SrIn2As2
1.0
4.400 0.000 0.000
0.000 4.400 0.000
2.200 2.200 7.085
In As Sr
2 2 1
Cartesian
4.400 2.200 3.542
2.200 4.400 3.542
4.400 4.400 5.824
2.200 2.200 1.260
0.000 0.000 0.000
```

Values from the calculation:
DFT formation energy	-0.38	eV per atom
space-group type	I4/mmm
VASP energy	-18.38	eV/f.u.

***

# 8
A geometry-optimized SrIn2As2 structure. Source: Alexandria via LeMat-Bulk, functional GGA-PBE.

```
SrIn2As2
1.0
8.095 0.000 0.000
0.000 8.095 0.000
0.000 0.000 3.953
Sr As In
2 4 4
Cartesian
4.047 4.047 0.000
0.000 0.000 0.000
6.879 5.263 0.000
2.832 6.879 0.000
1.216 2.832 0.000
5.263 1.216 0.000
2.880 1.168 1.977
6.927 2.880 1.977
5.215 6.927 1.977
1.168 5.215 1.977
```

Values from the calculation:
DFT formation energy	-0.28	eV per atom
space-group type	P4/mbm
VASP energy	-17.85	eV/f.u.

***

# 9
A geometry-optimized SrIn3As structure. Source: Alexandria via LeMat-Bulk, functional GGA-PBE.

```
SrIn3As
1.0
-2.260 -3.554 3.499
-2.297 -2.668 -4.194
4.427 -3.199 -0.390
In As Sr
3 1 1
Cartesian
-1.148 -1.334 -2.097
-1.130 -1.777 1.749
2.214 -1.599 -0.195
0.000 0.000 0.000
-0.065 -4.710 -0.543
```

Values from the calculation:
DFT formation energy	0.05	eV per atom
space-group type	Pm-3m
VASP energy	-14.30	eV/f.u.

***

# 10
A geometry-optimized Sr3In2As4 structure. Source: Alexandria via LeMat-Bulk, functional GGA-PBE.

```
Sr3In2As4
1.0
4.411 0.000 0.000
-2.205 7.217 -1.624
0.000 -5.197 10.030
Sr As In
3 4 2
Cartesian
2.205 -2.339 7.488
0.000 4.359 0.917
0.000 0.000 0.000
2.205 2.594 5.070
0.000 -0.574 3.335
0.000 -0.208 7.951
2.205 2.228 0.455
2.205 1.072 2.807
0.000 0.948 5.599
```

Values from the calculation:
DFT formation energy	-0.81	eV per atom
space-group type	C2/m
VASP energy	-36.45	eV/f.u.

***

# 11
A geometry-optimized SrInAs structure. Source: Alexandria via LeMat-Bulk, functional GGA-PBE.

```
SrInAs
1.0
-1.807 -4.020 2.692
0.577 -4.798 -1.822
3.285 -3.257 2.296
In As Sr
1 1 1
Cartesian
1.541 -9.056 2.375
1.027 -6.037 1.583
0.000 0.000 0.000
```

Values from the calculation:
DFT formation energy	-0.27	eV per atom
space-group type	F-43m
VASP energy	-9.88	eV/f.u.

***

# 12
A geometry-optimized SrIn3As structure. Source: Alexandria via LeMat-Bulk, functional GGA-PBE.

```
SrIn3As
1.0
-3.477 -3.249 -3.746
-0.817 -4.138 4.347
-4.891 3.001 1.937
As In Sr
1 3 1
Cartesian
-4.593 -2.193 1.269
-2.446 1.501 0.968
-0.409 -2.069 2.173
-1.739 -1.625 -1.873
0.000 0.000 0.000
```

Values from the calculation:
DFT formation energy	0.96	eV per atom
space-group type	Pm-3m
VASP energy	-9.74	eV/f.u.

***

# 13
A geometry-optimized Sr3In2As4 structure. Source: Alexandria via LeMat-Bulk, functional GGA-PBE.

```
Sr3In2As4
1.0
4.488 0.000 0.000
0.000 7.063 0.000
0.000 0.000 16.776
Sr In As
6 4 8
Cartesian
0.000 0.000 0.000
2.244 1.421 5.059
2.244 5.643 11.717
0.000 2.111 13.447
0.000 4.952 3.329
2.244 3.532 8.388
2.244 2.577 1.432
0.000 6.108 6.956
2.244 4.486 15.344
0.000 0.955 9.820
0.000 1.683 2.807
0.000 5.335 9.564
0.000 1.729 7.212
2.244 5.260 1.176
2.244 1.849 11.195
0.000 5.380 13.970
2.244 1.803 15.600
2.244 5.214 5.581
```

Values from the calculation:
DFT formation energy	-0.86	eV per atom
space-group type	Pnnm
VASP energy	-36.86	eV/f.u.

***

# 14
A geometry-optimized SrInAs structure. Source: Alexandria via LeMat-Bulk, functional GGA-PBE.

```
SrInAs
1.0
-2.518 -2.577 -2.453
4.330 -0.068 -0.501
0.383 -4.049 3.861
Sr As In
1 1 1
Cartesian
2.318 -3.769 1.580
0.011 -0.120 0.115
-0.135 -2.804 -0.788
```

Values from the calculation:
DFT formation energy	-0.69	eV per atom
space-group type	P3m1
VASP energy	-11.15	eV/f.u.

***

# 15
A geometry-optimized TaInAs2 structure. Source: Alexandria via LeMat-Bulk, functional GGA-PBE.

```
TaInAs2
1.0
-3.208 0.878 3.644
-4.798 0.815 0.810
-1.536 -5.133 0.976
In Ta As
1 1 2
Cartesian
-2.385 -0.860 1.358
-7.156 -2.581 4.073
-1.669 -4.746 1.042
-4.638 -2.108 2.649
```

Values from the calculation:
DFT formation energy	0.06	eV per atom
space-group type	C2/m
VASP energy	-23.63	eV/f.u.

***

# 16
A geometry-optimized TaInAs structure. Source: Alexandria via LeMat-Bulk, functional GGA-PBE.

```
TaInAs
1.0
-3.628 5.112 3.542
-6.346 3.311 0.783
4.426 -5.640 -0.677
In Ta As
1 1 1
Cartesian
-3.163 2.671 1.372
-6.556 5.537 2.843
-0.255 0.216 0.111
```

Values from the calculation:
DFT formation energy	0.18	eV per atom
space-group type	I4mm
VASP energy	-18.71	eV/f.u.

***

# 17
A geometry-optimized TaInAs structure. Source: Alexandria via LeMat-Bulk, functional GGA-PBE.

```
TaInAs
1.0
-4.282 1.394 0.935
-3.536 -2.882 -0.588
-2.222 -1.690 3.655
In Ta As
1 1 1
Cartesian
-5.020 -1.589 2.001
-7.530 -2.383 3.001
0.000 0.000 0.000
```

Values from the calculation:
DFT formation energy	0.60	eV per atom
space-group type	F-43m
VASP energy	-17.45	eV/f.u.

***

# 18
A geometry-optimized TaInAs2 structure. Source: Alexandria via LeMat-Bulk, functional GGA-PBE.

```
TaInAs2
1.0
3.061 -0.006 0.000
-0.883 2.931 0.000
0.000 0.000 9.725
In As Ta
1 2 1
Cartesian
1.089 1.462 2.431
0.000 0.000 5.397
0.000 0.000 9.191
1.089 1.462 7.294
```

Values from the calculation:
DFT formation energy	-0.05	eV per atom
space-group type	Cmmm
VASP energy	-24.11	eV/f.u.

***

# 19
A geometry-optimized TaIn3As structure. Source: Alexandria via LeMat-Bulk, functional GGA-PBE.

```
TaIn3As
1.0
5.228 0.000 0.000
0.000 5.228 0.000
0.000 0.000 5.228
In As Ta
3 1 1
Cartesian
2.614 0.000 0.000
0.000 0.000 2.614
0.000 2.614 0.000
0.000 0.000 0.000
2.614 2.614 2.614
```

Values from the calculation:
DFT formation energy	1.22	eV per atom
space-group type	Pm-3m
VASP energy	-18.64	eV/f.u.

***

# 20
A geometry-optimized TaIn3As structure. Source: Alexandria via LeMat-Bulk, functional GGA-PBE.

```
TaIn3As
1.0
5.420 0.000 0.000
0.000 5.420 0.000
0.000 0.000 5.420
In As Ta
3 1 1
Cartesian
0.000 0.000 2.710
2.710 0.000 0.000
0.000 2.710 0.000
2.710 2.710 2.710
0.000 0.000 0.000
```

Values from the calculation:
DFT formation energy	1.00	eV per atom
space-group type	Pm-3m
VASP energy	-19.73	eV/f.u.

***

# 21
A geometry-optimized TaInAs2 structure. Source: Alexandria via LeMat-Bulk, functional GGA-PBE.

```
TaInAs2
1.0
3.373 0.000 0.000
0.000 3.373 0.000
0.000 0.000 7.144
In Ta As
1 1 2
Cartesian
0.000 0.000 3.740
1.686 1.686 5.783
0.000 0.000 6.858
1.686 1.686 1.480
```

Values from the calculation:
DFT formation energy	0.11	eV per atom
space-group type	P4mm
VASP energy	-23.45	eV/f.u.

***

# 22
A geometry-optimized TaInAs structure. Source: Alexandria via LeMat-Bulk, functional GGA-PBE.

```
TaInAs
1.0
3.221 0.000 0.000
-1.610 2.789 0.000
0.000 0.000 6.764
As In Ta
1 1 1
Cartesian
0.000 0.000 6.538
1.610 0.930 2.310
0.000 1.860 4.680
```

Values from the calculation:
DFT formation energy	0.07	eV per atom
space-group type	P3m1
VASP energy	-19.04	eV/f.u.

***

# 23
A geometry-optimized TaInAs2 structure. Source: Alexandria via LeMat-Bulk, functional GGA-PBE.

```
TaInAs2
1.0
-0.293 0.410 -3.363
3.218 -0.917 -0.392
1.535 -7.654 -1.066
As Ta In
2 1 1
Cartesian
2.335 -4.654 -0.770
1.576 -7.285 -1.025
3.418 -6.223 -2.775
1.042 -1.938 -2.046
```

Values from the calculation:
DFT formation energy	-0.14	eV per atom
space-group type	P2/m
VASP energy	-24.45	eV/f.u.

***

# 24
A geometry-optimized TaInAs2 structure. Source: Alexandria via LeMat-Bulk, functional GGA-PBE.

```
TaInAs2
1.0
-5.430 4.543 1.146
-6.546 2.556 -1.433
-2.237 -1.772 2.334
Ta In As
1 1 2
Cartesian
-10.249 3.620 1.646
-6.677 2.273 1.139
-3.790 1.546 0.449
-2.842 -1.221 2.171
```

Values from the calculation:
DFT formation energy	-0.05	eV per atom
space-group type	Imm2
VASP energy	-24.08	eV/f.u.

***

# 25
A geometry-optimized TaInAs2 structure. Source: Alexandria via LeMat-Bulk, functional GGA-PBE.

```
TaInAs2
1.0
3.430 0.000 0.000
0.000 5.048 0.000
0.000 0.000 4.485
As Ta In
2 1 1
Cartesian
0.000 0.000 0.000
1.715 2.524 0.000
0.000 2.524 2.243
1.715 0.000 2.243
```

Values from the calculation:
DFT formation energy	0.39	eV per atom
space-group type	Pmmm
VASP energy	-22.35	eV/f.u.

***

# 26
A geometry-optimized TaInAs2 structure. Source: Alexandria via LeMat-Bulk, functional GGA-PBE.

```
TaInAs2
1.0
-0.581 -2.301 4.092
1.893 -2.807 -1.310
4.948 0.523 0.996
As Ta In
2 1 1
Cartesian
6.480 -1.760 -0.070
1.054 -1.667 1.946
5.241 -3.369 1.583
3.747 -1.215 -0.151
```

Values from the calculation:
DFT formation energy	0.02	eV per atom
space-group type	Amm2
VASP energy	-23.81	eV/f.u.

***

# 27
A geometry-optimized TaInAs2 structure. Source: Alexandria via LeMat-Bulk, functional GGA-PBE.

```
TaInAs2
1.0
9.207 -0.024 -0.014
8.604 3.279 -0.014
8.604 1.572 2.877
Ta In As
1 1 2
Cartesian
19.812 3.620 2.137
6.604 1.207 0.712
12.759 2.331 1.376
0.448 0.082 0.048
```

Values from the calculation:
DFT formation energy	-0.13	eV per atom
space-group type	R-3m
VASP energy	-24.40	eV/f.u.